[1]
VASP calculation (GGA-PBE) on a relaxed LiAu2Se crystal.

Results
Formation energy from raw total energies in eV per atom: -0.292
Polymorph energy (0 for the lowest one) in kcal/mol of atoms: 0.51

Cell and atoms, written as CIF:
```
data_LiAu2Se
_chemical_formula_sum 'Li2 Au4 Se2'
_symmetry_space_group_name_H-M 'I 4/m m m'
_symmetry_Int_Tables_number 139
_symmetry_space_group_name_Hall '-I 4 2'
_cell_length_a 3.994
_cell_length_b 3.994
_cell_length_c 8.974
_cell_angle_alpha 90.00
_cell_angle_beta 90.00
_cell_angle_gamma 90.00
loop_
_atom_site_label
_atom_site_type_symbol
_atom_site_fract_x
_atom_site_fract_y
_atom_site_fract_z
_atom_site_occupancy
Li1 Li 0.000 0.000 0.000 1
Au1 Au 0.000 0.500 0.250 1
Se1 Se 0.000 0.000 0.500 1
```


[2]
VASP calculation (GGA-PBE) on a relaxed BeHgTe2N crystal.

Results
Formation energy from raw total energies in eV per atom: 1.579
Polymorph energy (0 for the lowest one) in kcal/mol of atoms: 28.06

Cell and atoms, written as CIF:
```
data_BeHgTe2N
_chemical_formula_sum 'Be1 Hg1 Te2 N1'
_symmetry_space_group_name_H-M 'P 4/m m m'
_symmetry_Int_Tables_number 123
_symmetry_space_group_name_Hall '-P 4 2'
_cell_length_a 5.795
_cell_length_b 5.795
_cell_length_c 3.992
_cell_angle_alpha 90.00
_cell_angle_beta 90.00
_cell_angle_gamma 90.00
loop_
_atom_site_label
_atom_site_type_symbol
_atom_site_fract_x
_atom_site_fract_y
_atom_site_fract_z
_atom_site_occupancy
Be1 Be 0.000 0.000 0.000 1
Hg1 Hg 0.500 0.500 0.500 1
Te1 Te 0.000 0.500 0.500 1
N1 N 0.500 0.500 0.000 1
```


[3]
VASP calculation (GGA-PBE) on a relaxed BaLiThTe4 crystal.

Results
Formation energy from raw total energies in eV per atom: -1.233

Cell and atoms, written as CIF:
```
data_BaLiThTe4
_chemical_formula_sum 'Ba2 Li2 Th2 Te8'
_symmetry_space_group_name_H-M 'P 1 21/m 1'
_symmetry_Int_Tables_number 11
_cell_length_a 7.856
_cell_length_b 6.449
_cell_length_c 9.746
_cell_angle_alpha 90.00
_cell_angle_beta 108.27
_cell_angle_gamma 90.00
loop_
_symmetry_equiv_pos_as_xyz
'x,y,z'
'-x,-y,-z'
'-x,y+1/2,-z'
'x,-y+1/2,z'
loop_
_atom_site_label
_atom_site_type_symbol
_atom_site_fract_x
_atom_site_fract_y
_atom_site_fract_z
_atom_site_occupancy
Ba1 Ba 0.244 0.250 0.440 1
Li1 Li 0.238 0.750 0.185 1
Th1 Th 0.233 0.250 0.937 1
Te1 Te 0.057 0.750 0.370 1
Te2 Te 0.067 0.750 0.905 1
Te3 Te 0.480 0.508 0.782 1
```


[4]
VASP calculation (GGA-PBE) on a relaxed MnFeSi crystal.

Results
Formation energy from raw total energies in eV per atom: -0.401

Cell and atoms, written as CIF:
```
data_MnFeSi
_chemical_formula_sum 'Mn4 Fe4 Si4'
_symmetry_space_group_name_H-M 'C 1 m 1'
_symmetry_Int_Tables_number 8
_cell_length_a 6.810
_cell_length_b 3.934
_cell_length_c 4.839
_cell_angle_alpha 90.00
_cell_angle_beta 90.02
_cell_angle_gamma 90.00
loop_
_symmetry_equiv_pos_as_xyz
'x,y,z'
'x,-y,z'
'x+1/2,y+1/2,z'
'x+1/2,-y+1/2,z'
loop_
_atom_site_label
_atom_site_type_symbol
_atom_site_fract_x
_atom_site_fract_y
_atom_site_fract_z
_atom_site_occupancy
Mn1 Mn 0.000 0.000 0.000 1
Mn2 Mn 0.168 0.500 0.838 1
Fe1 Fe 0.168 0.500 0.336 1
Fe2 Fe 0.335 0.000 0.658 1
Si1 Si 0.002 0.000 0.508 1
Si2 Si 0.334 0.000 0.158 1
```


[5]
VASP calculation (GGA-PBE) on a relaxed K2MgHg crystal.

Results
Polymorph energy (0 for the lowest one) in kcal/mol of atoms: 2.34

Cell and atoms, written as CIF:
```
data_K2MgHg
_chemical_formula_sum 'K8 Mg4 Hg4'
_symmetry_space_group_name_H-M 'F m -3 m'
_symmetry_Int_Tables_number 225
_symmetry_space_group_name_Hall '-F 4 2 3'
_cell_length_a 8.660
_cell_length_b 8.660
_cell_length_c 8.660
_cell_angle_alpha 90.00
_cell_angle_beta 90.00
_cell_angle_gamma 90.00
loop_
_atom_site_label
_atom_site_type_symbol
_atom_site_fract_x
_atom_site_fract_y
_atom_site_fract_z
_atom_site_occupancy
K1 K 0.250 0.250 0.250 1
Mg1 Mg 0.000 0.000 0.000 1
Hg1 Hg 0.000 0.000 0.500 1
```